Record 1
This record from Alexandria via LeMat-Bulk describes crystalline ScRh3O at its relaxed geometry. The functional is GGA-PBE.

Uncorrected formation energy ... -0.383 eV/atom
Energy above the most stable polymorph in this dataset ... 0.0 kJ per mole of atoms
V ... 71.8 Å³/cell

Lattice parameters (Å, degrees): 4.157 4.157 4.157 90.00 90.00 90.00
Space group Pm-3m (No. 221)
Inequivalent atoms, fractional coordinates:
Sc  0.000  0.000  0.000 [1 per cell]
Rh  0.000  0.500  0.500 [3 per cell]
O  0.500  0.500  0.500 [1 per cell]

=====

Record 2
This record from Alexandria via LeMat-Bulk describes crystalline CoCuPt2S at its relaxed geometry. The functional is GGA-PBE.

Uncorrected formation energy ... 0.802 eV/atom
V ... 88.7 Å³/cell

Lattice parameters (Å, degrees): 4.727 4.727 3.971 90.00 90.00 90.00
Space group P4/mmm (No. 123)
Inequivalent atoms, fractional coordinates:
Co  0.000  0.000  0.000 [1 per cell]
Cu  0.500  0.500  0.500 [1 per cell]
Pt  0.000  0.500  0.000 [2 per cell]
S  0.000  0.000  0.500 [1 per cell]

=====

Record 3
This record from Alexandria via LeMat-Bulk describes crystalline Zn3GaP at its relaxed geometry. The functional is GGA-PBE.

Energy above the most stable polymorph in this dataset ... 31.0 kJ per mole of atoms
Formation energy from the elements ... 0.6839 eV per atom
V ... 105.1 Å³/cell

Lattice parameters (Å, degrees): 4.720 4.720 4.720 90.00 90.00 90.00
Space group Pm-3m (No. 221)
Inequivalent atoms, fractional coordinates:
Zn  0.000  0.000  0.500 [3 per cell]
Ga  0.000  0.000  0.000 [1 per cell]
P  0.500  0.500  0.500 [1 per cell]

=====

Record 4
This record from Alexandria via LeMat-Bulk describes crystalline BaLiC at its relaxed geometry. The functional is GGA-PBE.

Formation energy from the elements ... 0.1464 eV per atom
V ... 278.5 Å³/cell

Lattice parameters (Å, degrees): 7.480 3.739 9.957 90.00 90.89 90.00
Space group C2/m (No. 12)
Inequivalent atoms, fractional coordinates:
Ba  0.136  0.000  0.303 [4 per cell]
Li  0.152  0.000  0.949 [4 per cell]
C  0.031  0.500  0.063 [4 per cell]

=====

- Among the records above, which one has the highest V?
  BaLiC

=====

- The highest V belongs to which entry?
  BaLiC